Compound: Tm3ScSn
Source: the Alexandria database
Functional: PBE
Structure: relaxed

a b c (Å): 7.564 7.564 7.564
angles (deg): 87.10 115.61 128.20
Atoms (fractional coordinates):
Sc1 0.527 0.027 0.000
Sc2 0.027 0.527 0.000
Tm1 0.099 0.281 0.317
Tm2 0.533 0.310 0.274
Tm3 0.533 0.760 0.724
Tm4 0.036 0.260 0.726
Tm5 0.964 0.781 0.683
Tm6 0.036 0.810 0.276
Sn1 0.475 0.281 0.694
Sn2 0.586 0.781 0.306

The calculated total energy comes out at -4.657 eV per atom. Its crystal system is orthorhombic. The calculation puts the magnetic moment at 0.448 μB/cell. Its density of states at the Fermi level is 13.0 states/eV/cell. Its symmetry is No. 46.

Compound: Tm3ScSn2
Source: the Alexandria database
Functional: PBE
Structure: relaxed

a b c (Å): 4.435 4.435 8.187
angles (deg): 90.00 90.00 90.00
Atoms (fractional coordinates):
Tm1 0.000 0.000 0.000
Tm2 0.500 0.000 0.343
Tm3 0.000 0.500 0.657
Sn1 0.500 0.000 0.725
Sn2 0.000 0.500 0.275
Sc1 0.500 0.500 0.000

The calculated total energy comes out at -5.200 eV per atom. Its crystal system is tetragonal. The calculation puts the magnetic moment at 0.000 μB/cell. Its density of states at the Fermi level is 5.0 states/eV/cell. Its symmetry is No. 115.

Compound: Tm3ScSn2
Source: the Alexandria database
Functional: PBE
Structure: relaxed

a b c (Å): 6.275 6.272 9.302
angles (deg): 109.70 109.71 90.00
Atoms (fractional coordinates):
Tm1 0.500 0.250 0.000
Tm2 0.079 0.829 0.657
Tm3 0.579 0.329 0.657
Tm4 0.921 0.171 0.343
Tm5 0.421 0.671 0.343
Tm6 0.500 0.750 0.000
Sc1 0.000 0.750 0.000
Sc2 0.000 0.250 0.000
Sn1 0.107 0.363 0.725
Sn2 0.619 0.863 0.725
Sn3 0.381 0.137 0.275
Sn4 0.893 0.637 0.275

The calculated total energy comes out at -5.199 eV per atom. Its crystal system is orthorhombic. The calculation puts the magnetic moment at 0.001 μB/cell. Its density of states at the Fermi level is 7.9 states/eV/cell. Its symmetry is No. 72.

Compound: Tm5Sc2Sn4
Source: the Alexandria database
Functional: PBE
Structure: relaxed

a b c (Å): 4.343 7.352 11.239
angles (deg): 115.48 101.14 90.00
Atoms (fractional coordinates):
Tm1 0.824 0.106 0.648
Tm2 0.141 0.328 0.281
Tm3 0.500 0.000 0.000
Tm4 0.859 0.672 0.719
Tm5 0.176 0.894 0.352
Sn1 0.977 0.254 0.954
Sn2 0.717 0.666 0.434
Sn3 0.283 0.334 0.566
Sn4 0.023 0.746 0.046
Sc1 0.427 0.462 0.854
Sc2 0.573 0.538 0.146

The calculated total energy comes out at -5.009 eV per atom. Its crystal system is monoclinic. The calculation puts the magnetic moment at 0.001 μB/cell. Its density of states at the Fermi level is 13.0 states/eV/cell. Its symmetry is No. 12.

Compound: TmSc4Sn3
Source: the Alexandria database
Functional: PBE
Structure: relaxed

a b c (Å): 3.373 8.122 8.478
angles (deg): 118.63 101.47 90.00
Atoms (fractional coordinates):
Sc1 0.861 0.164 0.722
Sc2 0.139 0.442 0.278
Sc3 0.861 0.558 0.722
Sc4 0.139 0.836 0.278
Sn1 0.312 0.812 0.625
Sn2 0.500 0.500 0.000
Sn3 0.688 0.188 0.375
Tm1 0.000 0.000 0.000

The calculated total energy comes out at -5.611 eV per atom. Its crystal system is orthorhombic. The calculation puts the magnetic moment at 0.007 μB/cell. Its density of states at the Fermi level is 9.4 states/eV/cell. Its symmetry is No. 71.

Compound: TmSc2Sn
Source: the Alexandria database
Functional: PBE
Structure: relaxed

a b c (Å): 5.148 5.148 5.148
angles (deg): 60.00 60.00 60.00
Atoms (fractional coordinates):
Sn1 0.750 0.750 0.750
Sc1 0.000 0.000 0.000
Sc2 0.250 0.250 0.250
Tm1 0.500 0.500 0.500

The calculated total energy comes out at -5.528 eV per atom. Its crystal system is cubic. The calculation puts the magnetic moment at 1.317 μB/cell. Its density of states at the Fermi level is 5.4 states/eV/cell. Its symmetry is No. 216.